Computed, not measured: a relaxed Ac2NpSb3Ir4 crystal at the PBE level of DFT.

It has space group P-4m2 (No. 115), with a = 4.5301 Å, b = 4.5301 Å, c = 11.3904 Å, α = 90.00°, β = 90.00° and γ = 90.00°. The distinct sites, in fractional coordinates, are Ac at (0.0000, 0.5000, 0.2359), Np at (0.0000, 0.0000, 0.5000), Sb at (0.0000, 0.5000, 0.8727), Sb at (0.5000, 0.5000, 0.5000), Ir at (0.0000, 0.0000, 0.0000), Ir at (0.0000, 0.5000, 0.6402) and Ir at (0.5000, 0.5000, 0.0000).

The total energy comes out at -74.734 eV/f.u.

=====

Computed, not measured: a relaxed Ac2NpSn4Ir3 crystal at the PBE level of DFT.

It has space group P-4m2 (No. 115), with a = 4.5048 Å, b = 4.5048 Å, c = 12.3487 Å, α = 90.00°, β = 90.00° and γ = 90.00°. The distinct sites, in fractional coordinates, are Ac at (0.0000, 0.5000, 0.2289), Np at (0.0000, 0.0000, 0.5000), Sn at (0.0000, 0.0000, 0.0000), Sn at (0.0000, 0.5000, 0.6639), Sn at (0.5000, 0.5000, 0.0000), Ir at (0.0000, 0.5000, 0.8781) and Ir at (0.5000, 0.5000, 0.5000).

The energy of formation from the pure elements is -409 meV/atom.

=====

Computed, not measured: a relaxed AcIrO2 crystal at the PBE level of DFT.

It has space group R-3m (No. 166, hexagonal axes), with a = 3.6020 Å, b = 3.6020 Å, c = 18.1856 Å, α = 90.00°, β = 90.00° and γ = 120.00°. The distinct sites, in fractional coordinates, are Ac at (0.0000, 0.0000, 0.0000), Ir at (0.0000, 0.0000, 0.5000) and O at (0.0000, 0.0000, 0.1312).

The total energy comes out at -26.038 eV/f.u.